DFT (PBE) results for a relaxed Er2ThZr3N6 crystal.

Values from the calculation:
- Space group: C2/m, No. 12
- Mass density: 9.35 g cm⁻³

CIF file:
```
data_Er2ThZr3N6
_cell_length_a 5.8392
_cell_length_b 5.8392
_cell_length_c 5.8914
_cell_angle_alpha 99.44
_cell_angle_beta 99.44
_cell_angle_gamma 120.12
_symmetry_space_group_name_H-M 'P 1'
_symmetry_Int_Tables_number 1
loop_
_symmetry_equiv_pos_as_xyz
'x,y,z'
loop_
_atom_site_label
_atom_site_type_symbol
_atom_site_fract_x
_atom_site_fract_y
_atom_site_fract_z
Er1 Er 0.1669 0.8331 0.0000
Er2 Er 0.8331 0.1669 0.0000
Th1 Th 0.5000 0.5000 0.0000
Zr1 Zr 0.0000 0.0000 0.5000
Zr2 Zr 0.3294 0.6706 0.5000
Zr3 Zr 0.6706 0.3294 0.5000
N1 N 0.0722 0.4118 0.7336
N2 N 0.2489 0.2489 0.2645
N3 N 0.4118 0.0722 0.7336
N4 N 0.5882 0.9278 0.2664
N5 N 0.7511 0.7511 0.7355
N6 N 0.9278 0.5882 0.2664
```


DFT (PBE) results for a relaxed Er2ThZrN4 crystal.

Values from the calculation:
- Space group: P2/m, No. 10
- Mass density: 10.20 g cm⁻³

CIF file:
```
data_Er2ThZrN4
_cell_length_a 5.9525
_cell_length_b 3.4492
_cell_length_c 5.9920
_cell_angle_alpha 90.00
_cell_angle_beta 109.23
_cell_angle_gamma 90.00
_symmetry_space_group_name_H-M 'P 1'
_symmetry_Int_Tables_number 1
loop_
_symmetry_equiv_pos_as_xyz
'x,y,z'
loop_
_atom_site_label
_atom_site_type_symbol
_atom_site_fract_x
_atom_site_fract_y
_atom_site_fract_z
Er1 Er 0.0000 0.0000 0.0000
Er2 Er 0.0000 0.5000 0.5000
Th1 Th 0.5000 0.0000 0.5000
Zr1 Zr 0.5000 0.5000 0.0000
N1 N 0.2489 0.5000 0.2355
N2 N 0.2565 0.0000 0.7622
N3 N 0.7435 0.0000 0.2378
N4 N 0.7511 0.5000 0.7645
```


DFT (PBE) results for a relaxed ErTh2ZrN4 crystal.

Values from the calculation:
- Space group: P2/m, No. 10
- Mass density: 10.68 g cm⁻³

CIF file:
```
data_ErTh2ZrN4
_cell_length_a 6.0371
_cell_length_b 3.4737
_cell_length_c 6.1111
_cell_angle_alpha 90.00
_cell_angle_beta 109.11
_cell_angle_gamma 90.00
_symmetry_space_group_name_H-M 'P 1'
_symmetry_Int_Tables_number 1
loop_
_symmetry_equiv_pos_as_xyz
'x,y,z'
loop_
_atom_site_label
_atom_site_type_symbol
_atom_site_fract_x
_atom_site_fract_y
_atom_site_fract_z
Er1 Er 0.0000 0.0000 0.0000
Th1 Th 0.0000 0.5000 0.5000
Th2 Th 0.5000 0.0000 0.5000
Zr1 Zr 0.5000 0.5000 0.0000
N1 N 0.2514 0.5000 0.2302
N2 N 0.2650 0.0000 0.7746
N3 N 0.7350 0.0000 0.2254
N4 N 0.7486 0.5000 0.7698
```


DFT (PBE) results for a relaxed ErThZrN3 crystal.

Values from the calculation:
- Space group: P2_1/m, No. 11
- Mass density: 8.43 g cm⁻³

CIF file:
```
data_ErThZrN3
_cell_length_a 6.4148
_cell_length_b 3.3440
_cell_length_c 9.8049
_cell_angle_alpha 90.00
_cell_angle_beta 94.49
_cell_angle_gamma 90.00
_symmetry_space_group_name_H-M 'P 1'
_symmetry_Int_Tables_number 1
loop_
_symmetry_equiv_pos_as_xyz
'x,y,z'
loop_
_atom_site_label
_atom_site_type_symbol
_atom_site_fract_x
_atom_site_fract_y
_atom_site_fract_z
Er1 Er 0.1692 0.2500 0.1095
Er2 Er 0.8308 0.7500 0.8905
Th1 Th 0.3092 0.7500 0.7619
Th2 Th 0.6908 0.2500 0.2381
Zr1 Zr 0.3254 0.7500 0.4168
Zr2 Zr 0.6746 0.2500 0.5832
N1 N 0.1063 0.2500 0.8771
N2 N 0.3209 0.2500 0.5619
N3 N 0.3984 0.7500 0.1926
N4 N 0.6016 0.2500 0.8074
N5 N 0.6791 0.7500 0.4381
N6 N 0.8937 0.7500 0.1229
```


Short version: volume = 13.67 14.52 15.14 17.47 A^3/atom, in the order given.
Short version: total moment = 0.00 0.00 0.00 1.56 Bohr magnetons per cell, in the order given.
Short version: energy = -9.361 -8.953 -9.262 -8.916 eV per atom, in the order given.